Version 1
Pr2NdGa2 | the Alexandria database | PBE | relaxed; density = 6.70 g cm⁻³; D(E_F) = 5.2 states/eV/cell; crystal system = orthorhombic
1.0
4.393 0.000 1.969
1.586 5.253 2.346
-0.033 -0.330 5.958
Nd Pr Ga
1 2 2
Direct
0.000 0.000 0.000
0.802 0.698 0.698
0.198 0.302 0.302
0.500 0.302 0.698
0.500 0.698 0.302


Version 2
Pr2NdGa2 | the Alexandria database | PBE | relaxed; density = 6.87 g cm⁻³; D(E_F) = 4.7 states/eV/cell; crystal system = monoclinic
1.0
-2.618 0.148 -4.621
1.260 -3.395 -3.888
-4.182 -4.751 -0.846
Pr Ga Nd
2 2 1
Direct
0.223 0.723 0.331
0.777 0.277 0.669
0.581 0.081 0.256
0.419 0.919 0.744
0.000 0.500 0.000


How far above the most stable structure does each one sit? In meV per atom: version 1 0; version 2 33.


Version 1
PrNd3Ga | the Alexandria database | PBE | relaxed; density = 6.71 g cm⁻³; D(E_F) = 25.5 states/eV/cell; crystal system = orthorhombic
1.0
-2.226 -4.591 0.527
6.221 -3.975 -8.359
7.874 -2.982 7.278
Ga Pr Nd
4 4 12
Direct
0.250 0.089 0.671
0.750 0.411 0.171
0.250 0.589 0.829
0.750 0.911 0.329
0.250 0.238 0.006
0.250 0.738 0.494
0.750 0.762 0.994
0.750 0.262 0.506
0.750 0.925 0.601
0.250 0.357 0.685
0.250 0.575 0.101
0.750 0.143 0.185
0.250 0.901 0.162
0.750 0.099 0.838
0.750 0.599 0.662
0.750 0.425 0.899
0.750 0.643 0.315
0.250 0.075 0.399
0.250 0.401 0.338
0.250 0.857 0.815


Version 2
PrNd3Ga | the Alexandria database | PBE | relaxed; density = 6.76 g cm⁻³; D(E_F) = 11.1 states/eV/cell; crystal system = triclinic
1.0
0.622 -2.339 -2.920
2.208 -6.350 5.565
-9.998 -0.025 0.365
Nd Ga Pr
6 2 2
Direct
0.612 0.929 0.481
0.418 0.417 0.089
0.232 0.729 0.719
0.598 0.495 0.457
0.412 0.808 0.087
0.218 0.295 0.694
0.812 0.544 0.879
0.018 0.680 0.296
0.006 0.153 0.273
0.824 0.071 0.902


How far above the most stable structure does each one sit? In meV per atom: version 1 50; version 2 0.


Version 1
PrNd2Ga6 | the Alexandria database | PBE | relaxed; density = 6.45 g cm⁻³; D(E_F) = 4.7 states/eV/cell; crystal system = orthorhombic
1.0
-0.884 -2.806 -3.345
-4.504 -5.812 3.101
-7.952 -0.496 -0.449
Ga Nd Pr
6 2 1
Direct
0.323 0.367 0.988
0.500 0.683 0.317
0.323 0.988 0.367
0.677 0.633 0.012
0.677 0.012 0.633
0.500 0.317 0.683
0.869 0.631 0.631
0.131 0.369 0.369
0.000 0.000 0.000


Version 2
PrNd2Ga6 | the Alexandria database | PBE | relaxed; density = 6.83 g cm⁻³; D(E_F) = 5.6 states/eV/cell; crystal system = hexagonal
1.0
4.326 0.000 0.000
0.000 6.422 -3.708
0.000 0.000 7.415
Ga Nd Pr
6 2 1
Direct
0.500 0.666 0.000
0.500 0.666 0.666
0.500 0.000 0.666
0.500 0.334 0.334
0.500 0.000 0.334
0.500 0.334 0.000
0.000 0.333 0.667
0.000 0.667 0.333
0.000 0.000 0.000


How far above the most stable structure does each one sit? In meV per atom: version 1 231; version 2 0.